VASP calculation (GGA+U) on an optimized crystal structure of Ac2VBiO6.

The space group is P4mm (No. 99) and the conventional cell measures 5.7113, 5.7113 and 5.2267 Å, with angles of 90.00, 90.00 and 90.00 degrees. The distinct sites, in fractional coordinates, are Ac at (0.0000, 0.5000, 0.0000), V at (0.0000, 0.0000, 0.5823), Bi at (0.5000, 0.5000, 0.5594), O at (0.0000, 0.0000, 0.2182), O at (0.2341, 0.2341, 0.7195) and O at (0.5000, 0.5000, 0.1171).

Its total energy is -7.25 eV per atom. The calculation puts the density of states at the Fermi level at 4.5 states/eV/cell. The calculated volume comes out at 170 Å³/cell.